# Si2AgAs (PBE-GGA, optimized geometry)
# Energy relative to the elements, uncorrected   0.488 eV/atom
# Density of states at the Fermi level   1.6 states/eV/f.u.
# Magnetization   0.000 Bohr magnetons per cell
data_Si2AgAs
_chemical_formula_sum 'Si2 Ag1 As1'
_symmetry_space_group_name_H-M 'P 4/m m m'
_symmetry_Int_Tables_number 123
_symmetry_space_group_name_Hall '-P 4 2'
_cell_length_a 3.056
_cell_length_b 3.056
_cell_length_c 7.315
_cell_angle_alpha 90.00
_cell_angle_beta 90.00
_cell_angle_gamma 90.00
loop_
_atom_site_label
_atom_site_fract_x
_atom_site_fract_y
_atom_site_fract_z
Si1 0.000 0.000 0.249
Ag1 0.500 0.500 0.500
As1 0.500 0.500 0.000



# YGeAs2Pt (PBE-GGA, optimized geometry)
# Density of states at the Fermi level   3.9 states/eV/f.u.
# ΔH_f (0 K)   -31 meV per atom
# Magnetization   0.000 Bohr magnetons per cell
data_YGeAs2Pt
_chemical_formula_sum 'Y1 Ge1 As2 Pt1'
_symmetry_space_group_name_H-M 'P 4/m m m'
_symmetry_Int_Tables_number 123
_symmetry_space_group_name_Hall '-P 4 2'
_cell_length_a 4.992
_cell_length_b 4.992
_cell_length_c 4.624
_cell_angle_alpha 90.00
_cell_angle_beta 90.00
_cell_angle_gamma 90.00
loop_
_atom_site_label
_atom_site_fract_x
_atom_site_fract_y
_atom_site_fract_z
Y1 0.000 0.000 0.000
Ge1 0.500 0.500 0.500
As1 0.000 0.500 0.500
Pt1 0.500 0.500 0.000



# LaYB2Br (PBE-GGA, optimized geometry)
# Energy relative to the elements, uncorrected   1.400 eV/atom
# Density of states at the Fermi level   4.2 states/eV/f.u.
# Magnetization   0.000 Bohr magnetons per cell
data_LaYB2Br
_chemical_formula_sum 'La1 Y1 B2 Br1'
_symmetry_space_group_name_H-M 'P 4/m m m'
_symmetry_Int_Tables_number 123
_symmetry_space_group_name_Hall '-P 4 2'
_cell_length_a 4.702
_cell_length_b 4.702
_cell_length_c 6.479
_cell_angle_alpha 90.00
_cell_angle_beta 90.00
_cell_angle_gamma 90.00
loop_
_atom_site_label
_atom_site_fract_x
_atom_site_fract_y
_atom_site_fract_z
La1 0.000 0.000 0.000
Y1 0.000 0.000 0.500
B1 0.000 0.500 0.000
Br1 0.500 0.500 0.500



# KCl (PBE-GGA, optimized geometry)
# Energy relative to the elements, uncorrected   -1.929 eV/atom
# Density of states at the Fermi level   0.0 states/eV/f.u.
# Magnetization   0.000 Bohr magnetons per cell
data_KCl
_chemical_formula_sum 'K6 Cl6'
_symmetry_space_group_name_H-M 'R 3 m'
_symmetry_Int_Tables_number 160
_symmetry_space_group_name_Hall 'R 3 -2"'
_cell_length_a 4.4182
_cell_length_b 4.4182
_cell_length_c 23.0613
_cell_angle_alpha 90.00
_cell_angle_beta 90.00
_cell_angle_gamma 120.00
loop_
_atom_site_label
_atom_site_fract_x
_atom_site_fract_y
_atom_site_fract_z
K1 0.0000 0.0000 0.0000
K2 0.0000 0.0000 0.1696
Cl1 0.0000 0.0000 0.4168
Cl2 0.0000 0.0000 0.5857



# TlCrI2N (PBE-GGA, optimized geometry)
# Energy above the lowest structure with this stoichiometry   0 meV per atom
# Energy relative to the elements, uncorrected   -0.069 eV/atom
# Density of states at the Fermi level   2.3 states/eV/f.u.
# Magnetization   1.995 Bohr magnetons per cell
data_TlCrI2N
_chemical_formula_sum 'Tl1 Cr1 I2 N1'
_symmetry_space_group_name_H-M 'P 4/m m m'
_symmetry_Int_Tables_number 123
_symmetry_space_group_name_Hall '-P 4 2'
_cell_length_a 5.926
_cell_length_b 5.926
_cell_length_c 3.719
_cell_angle_alpha 90.00
_cell_angle_beta 90.00
_cell_angle_gamma 90.00
loop_
_atom_site_label
_atom_site_fract_x
_atom_site_fract_y
_atom_site_fract_z
Tl1 0.000 0.000 0.000
Cr1 0.500 0.500 0.500
I1 0.000 0.500 0.500
N1 0.500 0.500 0.000



# CdH (PBE-GGA, optimized geometry)
# Energy above the lowest structure with this stoichiometry   302 meV per atom
# Density of states at the Fermi level   0.5 states/eV/f.u.
# Magnetization   0.000 Bohr magnetons per cell
data_CdH
_chemical_formula_sum 'Cd2 H2'
_symmetry_space_group_name_H-M 'P 63 m c'
_symmetry_Int_Tables_number 186
_symmetry_space_group_name_Hall 'P 6c -2c'
_cell_length_a 3.0922
_cell_length_b 3.0922
_cell_length_c 6.9463
_cell_angle_alpha 90.00
_cell_angle_beta 90.00
_cell_angle_gamma 120.00
loop_
_atom_site_label
_atom_site_fract_x
_atom_site_fract_y
_atom_site_fract_z
Cd1 0.3333 0.6667 0.0000
H1 0.3333 0.6667 0.7205



# YThTlAu (PBE-GGA, optimized geometry)
# Energy above the lowest structure with this stoichiometry   0 meV per atom
# Density of states at the Fermi level   3.0 states/eV/f.u.
# ΔH_f (0 K)   -488 meV per atom
# Magnetization   0.000 Bohr magnetons per cell
data_YThTlAu
_chemical_formula_sum 'Y1 Th1 Tl1 Au1'
_symmetry_space_group_name_H-M 'P 4 m m'
_symmetry_Int_Tables_number 99
_symmetry_space_group_name_Hall 'P 4 -2'
_cell_length_a 3.584
_cell_length_b 3.584
_cell_length_c 8.226
_cell_angle_alpha 90.00
_cell_angle_beta 90.00
_cell_angle_gamma 90.00
loop_
_atom_site_label
_atom_site_fract_x
_atom_site_fract_y
_atom_site_fract_z
Y1 0.000 0.000 0.000
Th1 0.000 0.000 0.461
Tl1 0.500 0.500 0.740
Au1 0.500 0.500 0.209



# La3SmDy2S6 (PBE-GGA, optimized geometry)
# Energy relative to the elements, uncorrected   -2.093 eV/atom
# Density of states at the Fermi level   6.0 states/eV/f.u.
# Magnetization   0.000 Bohr magnetons per cell
data_La3SmDy2S6
_chemical_formula_sum 'La6 Sm2 Dy4 S12'
_symmetry_space_group_name_H-M 'C 1 2/m 1'
_symmetry_Int_Tables_number 12
_symmetry_space_group_name_Hall '-C 2y'
_cell_length_a 6.973
_cell_length_b 12.104
_cell_length_c 7.060
_cell_angle_alpha 90.00
_cell_angle_beta 109.32
_cell_angle_gamma 90.00
loop_
_atom_site_label
_atom_site_fract_x
_atom_site_fract_y
_atom_site_fract_z
La1 0.000 0.000 0.000
La2 0.000 0.335 0.000
Sm1 0.000 0.500 0.500
Dy1 0.000 0.167 0.500
S1 0.238 0.000 0.731
S2 0.247 0.330 0.733



# CsCdAgS2 (PBE-GGA, optimized geometry)
# Energy relative to the elements, uncorrected   -0.061 eV/atom
# Density of states at the Fermi level   1.9 states/eV/f.u.
# Magnetization   0.000 Bohr magnetons per cell
data_CsCdAgS2
_chemical_formula_sum 'Cs1 Cd1 Ag1 S2'
_symmetry_space_group_name_H-M 'P 4/m m m'
_symmetry_Int_Tables_number 123
_symmetry_space_group_name_Hall '-P 4 2'
_cell_length_a 5.236
_cell_length_b 5.236
_cell_length_c 5.339
_cell_angle_alpha 90.00
_cell_angle_beta 90.00
_cell_angle_gamma 90.00
loop_
_atom_site_label
_atom_site_fract_x
_atom_site_fract_y
_atom_site_fract_z
Cs1 0.000 0.000 0.000
Cd1 0.500 0.500 0.500
Ag1 0.500 0.500 0.000
S1 0.000 0.500 0.500



# SiSn3Bi (PBE-GGA, optimized geometry)
# Energy above the lowest structure with this stoichiometry   784 meV per atom
# Energy relative to the elements, uncorrected   1.163 eV/atom
# Density of states at the Fermi level   5.6 states/eV/f.u.
# Magnetization   0.000 Bohr magnetons per cell
data_SiSn3Bi
_chemical_formula_sum 'Si1 Sn3 Bi1'
_symmetry_space_group_name_H-M 'P m -3 m'
_symmetry_Int_Tables_number 221
_symmetry_space_group_name_Hall '-P 4 2 3'
_cell_length_a 5.847
_cell_length_b 5.847
_cell_length_c 5.847
_cell_angle_alpha 90.00
_cell_angle_beta 90.00
_cell_angle_gamma 90.00
loop_
_atom_site_label
_atom_site_fract_x
_atom_site_fract_y
_atom_site_fract_z
Si1 0.000 0.000 0.000
Sn1 0.000 0.500 0.500
Bi1 0.500 0.500 0.500



# BeRu2Pb (PBE-GGA, optimized geometry)
# Energy above the lowest structure with this stoichiometry   64 meV per atom
# Density of states at the Fermi level   4.2 states/eV/f.u.
# ΔH_f (0 K)   355 meV per atom
# Magnetization   2.030 Bohr magnetons per cell
data_BeRu2Pb
_chemical_formula_sum 'Be3 Ru6 Pb3'
_symmetry_space_group_name_H-M 'R -3 m'
_symmetry_Int_Tables_number 166
_symmetry_space_group_name_Hall '-R 3 2"'
_cell_length_a 3.2398
_cell_length_b 3.2398
_cell_length_c 20.5646
_cell_angle_alpha 90.00
_cell_angle_beta 90.00
_cell_angle_gamma 120.00
loop_
_atom_site_label
_atom_site_fract_x
_atom_site_fract_y
_atom_site_fract_z
Be1 0.0000 0.0000 0.0000
Ru1 0.0000 0.0000 0.2747
Pb1 0.0000 0.0000 0.5000



# Li3Ac2Ge4 (PBE-GGA, optimized geometry)
# Density of states at the Fermi level   3.7 states/eV/f.u.
# ΔH_f (0 K)   -438 meV per atom
# Magnetization   0.000 Bohr magnetons per cell
data_Li3Ac2Ge4
_chemical_formula_sum 'Li12 Ac8 Ge16'
_symmetry_space_group_name_H-M 'C m c e'
_symmetry_Int_Tables_number 64
_symmetry_space_group_name_Hall '-C 2ac 2'
_cell_length_a 6.192
_cell_length_b 16.024
_cell_length_c 8.003
_cell_angle_alpha 90.00
_cell_angle_beta 90.00
_cell_angle_gamma 90.00
loop_
_atom_site_label
_atom_site_fract_x
_atom_site_fract_y
_atom_site_fract_z
Li1 0.000 0.000 0.000
Li2 0.250 0.221 0.250
Ac1 0.000 0.113 0.592
Ge1 0.000 0.172 0.006
Ge2 0.250 0.055 0.250



Which value of magnetization does entry 1 give? 0.000 Bohr magnetons per cell



What is the magnetization in the third record? 0.000 Bohr magnetons per cell